No. 1
PuBeTe: optimized geometry, PBE.

Size of the total moment   22.71 μB/cell
Space-group type   No. 216
Relative energy among the computed polymorphs   0.0 meV per atom
Uncorrected energy   -85.018 eV for the cell shown

```
PuBeTe
1.0
6.358 0.000 0.000
0.000 6.358 0.000
0.000 0.000 6.358
Pu Be Te
4 4 4
Cartesian
0.000 0.000 0.000
0.000 3.179 3.179
3.179 0.000 3.179
3.179 3.179 0.000
1.589 1.589 1.589
1.589 4.768 4.768
4.768 1.589 4.768
4.768 4.768 1.589
0.000 0.000 3.179
0.000 3.179 0.000
3.179 0.000 0.000
3.179 3.179 3.179
```

=====

No. 2
PuThBe: optimized geometry, PBE.

Size of the total moment   23.27 μB/cell
Space-group type   No. 216
Relative energy among the computed polymorphs   0.0 meV per atom
Uncorrected energy   -96.737 eV for the cell shown

```
PuThBe
1.0
6.602 0.000 0.000
0.000 6.602 0.000
0.000 0.000 6.602
Pu Th Be
4 4 4
Cartesian
0.000 0.000 0.000
0.000 3.301 3.301
3.301 0.000 3.301
3.301 3.301 0.000
0.000 0.000 3.301
0.000 3.301 0.000
3.301 0.000 0.000
3.301 3.301 3.301
1.650 1.650 1.650
1.650 4.951 4.951
4.951 1.650 4.951
4.951 4.951 1.650
```

=====

No. 3
PuBeTl: optimized geometry, PBE.

Size of the total moment   23.68 μB/cell
Space-group type   No. 216
Relative energy among the computed polymorphs   612.2 meV per atom
Uncorrected energy   -70.513 eV for the cell shown

```
PuBeTl
1.0
6.821 0.000 0.000
0.000 6.821 0.000
0.000 0.000 6.821
Pu Be Tl
4 4 4
Cartesian
0.000 0.000 0.000
0.000 3.411 3.411
3.411 0.000 3.411
3.411 3.411 0.000
1.705 1.705 1.705
1.705 5.116 5.116
5.116 1.705 5.116
5.116 5.116 1.705
1.705 1.705 5.116
1.705 5.116 1.705
5.116 1.705 1.705
5.116 5.116 5.116
```

=====

No. 4
PuBeTl: optimized geometry, PBE.

Size of the total moment   20.59 μB/cell
Space-group type   No. 216
Relative energy among the computed polymorphs   0.0 meV per atom
Uncorrected energy   -77.860 eV for the cell shown

```
PuBeTl
1.0
6.454 0.000 0.000
0.000 6.454 0.000
0.000 0.000 6.454
Pu Be Tl
4 4 4
Cartesian
0.000 0.000 0.000
0.000 3.227 3.227
3.227 0.000 3.227
3.227 3.227 0.000
1.613 1.613 1.613
1.613 4.840 4.840
4.840 1.613 4.840
4.840 4.840 1.613
0.000 0.000 3.227
0.000 3.227 0.000
3.227 0.000 0.000
3.227 3.227 3.227
```

=====

No. 5
PuUBe: optimized geometry, PBE.

Size of the total moment   5.72 μB/cell
Space-group type   No. 216
Relative energy among the computed polymorphs   0.0 meV per atom
Uncorrected energy   -109.697 eV for the cell shown

```
PuUBe
1.0
5.903 0.000 0.000
0.000 5.903 0.000
0.000 0.000 5.903
Pu U Be
4 4 4
Cartesian
0.000 0.000 0.000
0.000 2.952 2.952
2.952 0.000 2.952
2.952 2.952 0.000
1.476 1.476 4.428
1.476 4.428 1.476
4.428 1.476 1.476
4.428 4.428 4.428
0.000 0.000 2.952
0.000 2.952 0.000
2.952 0.000 0.000
2.952 2.952 2.952
```

=====

No. 6
PuBeW: optimized geometry, PBE.

Size of the total moment   16.99 μB/cell
Space-group type   No. 216
Relative energy among the computed polymorphs   0.0 meV per atom
Uncorrected energy   -115.174 eV for the cell shown

```
PuBeW
1.0
5.829 0.000 0.000
0.000 5.829 0.000
0.000 0.000 5.829
Pu Be W
4 4 4
Cartesian
0.000 0.000 0.000
0.000 2.915 2.915
2.915 0.000 2.915
2.915 2.915 0.000
1.457 1.457 1.457
1.457 4.372 4.372
4.372 1.457 4.372
4.372 4.372 1.457
0.000 0.000 2.915
0.000 2.915 0.000
2.915 0.000 0.000
2.915 2.915 2.915
```